Li5Ca2Cd4 | PBE | optimized geometry

Crystal system   orthorhombic
Energy relative to the elements   -0.19 eV/atom
DOS at the Fermi energy   0.52 states/eV per atom

a b c (Å): 7.330 7.330 7.330
angles (deg): 134.20 102.14 95.31
Element x y z (fractional)
Li1 0.000 0.000 0.000
Li2 0.313 0.250 0.563
Li3 0.313 0.750 0.062
Li4 0.687 0.250 0.938
Li5 0.687 0.750 0.437
Ca1 0.205 0.705 0.500
Ca2 0.795 0.295 0.500
Cd1 0.073 0.238 0.835
Cd2 0.403 0.238 0.165
Cd3 0.597 0.762 0.835
Cd4 0.927 0.762 0.165